# BaCr3 (PBE, relaxed)
data_BaCr3
_cell_length_a 7.447
_cell_length_b 4.329
_cell_length_c 6.643
_cell_angle_alpha 90.00
_cell_angle_beta 112.02
_cell_angle_gamma 90.00
_space_group_name_H-M_alt 'C 1 2/m 1'
_space_group_IT_number 12
_space_group_name_Hall '-C 2y'
loop_
_atom_site_label
_atom_site_type_symbol
_atom_site_fract_x
_atom_site_fract_y
_atom_site_fract_z
Ba1 Ba 0.000 0.000 0.000
Cr1 Cr 0.000 0.500 0.500
Cr2 Cr 0.196 0.000 0.587
# Calculated total energy   -27.81 eV per formula unit
# ΔH_f (0 K)   0.745 eV/atom
# E above lowest polymorph   0 meV per atom
# Total magnetic moment   3.80 μB/f.u.

***

# Sr2CuAg2 (PBE, relaxed)
data_Sr2CuAg2
_cell_length_a 11.668
_cell_length_b 4.516
_cell_length_c 12.029
_cell_angle_alpha 90.00
_cell_angle_beta 117.57
_cell_angle_gamma 90.00
_space_group_name_H-M_alt 'C 1 2/m 1'
_space_group_IT_number 12
_space_group_name_Hall '-C 2y'
loop_
_atom_site_label
_atom_site_type_symbol
_atom_site_fract_x
_atom_site_fract_y
_atom_site_fract_z
Sr1 Sr 0.087 0.000 0.388
Sr2 Sr 0.192 0.500 0.143
Cu1 Cu 0.086 0.500 0.821
Ag1 Ag 0.053 0.000 0.916
Ag2 Ag 0.125 0.500 0.618
# Calculated total energy   -14.27 eV per formula unit
# ΔH_f (0 K)   -0.222 eV/atom
# E above lowest polymorph   0 meV per atom
# Total magnetic moment   0.00 μB/f.u.

***

# Zn2SbMo (PBE, relaxed)
data_Zn2SbMo
_cell_length_a 2.911
_cell_length_b 4.783
_cell_length_c 5.197
_cell_angle_alpha 90.00
_cell_angle_beta 101.14
_cell_angle_gamma 90.00
_space_group_name_H-M_alt 'P 1 2/m 1'
_space_group_IT_number 10
_space_group_name_Hall '-P 2y'
loop_
_atom_site_label
_atom_site_type_symbol
_atom_site_fract_x
_atom_site_fract_y
_atom_site_fract_z
Zn1 Zn 0.238 0.000 0.227
Sb1 Sb 0.000 0.500 0.500
Mo1 Mo 0.500 0.500 0.000
# Calculated total energy   -16.03 eV per formula unit
# Formation energy (no corrections)   0.367 eV per atom
# Total magnetic moment   0.00 μB/f.u.

***

# Ca2Ac3Pr (PBE, relaxed)
data_Ca2Ac3Pr
_cell_length_a 5.536
_cell_length_b 11.099
_cell_length_c 16.581
_cell_angle_alpha 90.00
_cell_angle_beta 90.00
_cell_angle_gamma 90.00
_space_group_name_H-M_alt 'I m m a'
_space_group_IT_number 74
_space_group_name_Hall '-I 2b 2'
loop_
_atom_site_label
_atom_site_type_symbol
_atom_site_fract_x
_atom_site_fract_y
_atom_site_fract_z
Ca1 Ca 0.000 0.250 0.001
Ca2 Ca 0.000 0.250 0.331
Ac1 Ac 0.000 0.000 0.500
Ac2 Ac 0.000 0.011 0.832
Pr1 Pr 0.000 0.250 0.670
# Calculated total energy   -20.82 eV per formula unit
# ΔH_f (0 K)   0.048 eV/atom
# E above lowest polymorph   0 meV per atom
# Total magnetic moment   0.00 μB/f.u.

***

# Pu2NiSb2 (PBE, relaxed)
data_Pu2NiSb2
_cell_length_a 11.210
_cell_length_b 4.347
_cell_length_c 11.218
_cell_angle_alpha 90.00
_cell_angle_beta 118.68
_cell_angle_gamma 90.00
_space_group_name_H-M_alt 'C 1 2/m 1'
_space_group_IT_number 12
_space_group_name_Hall '-C 2y'
loop_
_atom_site_label
_atom_site_type_symbol
_atom_site_fract_x
_atom_site_fract_y
_atom_site_fract_z
Pu1 Pu 0.048 0.000 0.388
Pu2 Pu 0.142 0.500 0.157
Ni1 Ni 0.152 0.500 0.845
Sb1 Sb 0.108 0.000 0.932
Sb2 Sb 0.178 0.500 0.629
# Calculated total energy   -45.34 eV per formula unit
# Formation energy (no corrections)   -0.530 eV per atom
# Total magnetic moment   10.87 μB/f.u.

***

# In2GaBiSe6 (PBE, relaxed)
data_In2GaBiSe6
_cell_length_a 14.396
_cell_length_b 13.951
_cell_length_c 7.181
_cell_angle_alpha 90.00
_cell_angle_beta 111.21
_cell_angle_gamma 90.00
_space_group_name_H-M_alt 'C 1 2/c 1'
_space_group_IT_number 15
_space_group_name_Hall '-C 2yc'
loop_
_atom_site_label
_atom_site_type_symbol
_atom_site_fract_x
_atom_site_fract_y
_atom_site_fract_z
In1 In 0.077 0.095 0.112
Ga1 Ga 0.000 0.332 0.750
Bi1 Bi 0.000 0.416 0.250
Se1 Se 0.121 0.439 0.681
Se2 Se 0.122 0.267 0.057
Se3 Se 0.124 0.075 0.510
# Calculated total energy   -37.99 eV per formula unit
# Formation energy (no corrections)   -0.470 eV per atom
# Total magnetic moment   0.00 μB/f.u.